The following is a PBE calculation of a relaxed SmMg2ReN4 crystal, from Alexandria via LeMat-Bulk.

Structure (POSCAR):
```
SmMg2ReN4
1.0
3.295 0.000 0.000
-1.647 5.791 0.000
0.000 0.000 11.039
N Mg Re Sm
8 4 2 2
direct
0.275 0.551 0.382 N
0.000 0.000 0.500 N
0.581 0.162 0.250 N
0.419 0.838 0.750 N
0.725 0.449 0.882 N
0.000 0.000 0.000 N
0.275 0.551 0.118 N
0.725 0.449 0.618 N
0.613 0.227 0.471 Mg
0.613 0.227 0.029 Mg
0.387 0.773 0.971 Mg
0.387 0.773 0.529 Mg
0.183 0.366 0.250 Re
0.817 0.634 0.750 Re
0.076 0.152 0.750 Sm
0.924 0.848 0.250 Sm
```

- Space-group type: Cmcm (63)
- Raw total energy: -7.29 eV/atom
- Energy relative to the elements, uncorrected: -4.69 eV/f.u.